# Na2La3PrTe6

An optimized crystal structure of Na2La3PrTe6 (PBE-GGA, Alexandria via LeMat-Bulk).

Computed properties:
Its crystal system is monoclinic. The calculation puts the magnetic moment at 0.000 μB/f.u. Its raw formation energy is -1668 kJ/mol of formula units.

Cell: 7.944 7.944 7.900 Å, 99.65 99.65 119.95°
Fractional positions:
Te1 0.918 0.585 0.754
La1 0.500 0.500 0.500
Te2 0.585 0.918 0.754
Na1 0.666 0.334 0.000
Pr1 0.000 0.000 0.000
Na2 0.334 0.666 0.000
Te3 0.249 0.249 0.751
La2 0.832 0.168 0.500
Te4 0.082 0.415 0.246
Te5 0.415 0.082 0.246
La3 0.168 0.832 0.500
Te6 0.751 0.751 0.249

# ZrMnCuS4

An optimized crystal structure of ZrMnCuS4 (PBE-GGA, Alexandria via LeMat-Bulk).

Computed properties:
Its crystal system is orthorhombic. The calculation puts the magnetic moment at 3.889 μB/f.u. Its raw formation energy is -610 kJ/mol of formula units.

Cell: 7.308 7.215 7.215 Å, 60.85 59.57 59.57°
Fractional positions:
S1 0.773 0.746 0.246
Mn1 0.000 0.000 0.000
S2 0.234 0.746 0.246
S3 0.766 0.254 0.754
S4 0.227 0.254 0.754
S5 0.758 0.241 0.244
Cu1 0.380 0.370 0.870
S6 0.242 0.759 0.756
S7 0.758 0.744 0.741
S8 0.242 0.256 0.259
Zr1 0.000 0.000 0.500
Mn2 0.000 0.500 0.500
Cu2 0.620 0.630 0.130
Zr2 0.500 0.000 0.500

# MgCo2Rh

An optimized crystal structure of MgCo2Rh (PBE-GGA, Alexandria via LeMat-Bulk).

Computed properties:
Its crystal system is tetragonal. The calculation puts the magnetic moment at 3.770 μB/f.u. The formation energy is 0.09 eV/atom.

Cell: 4.188 4.188 3.025 Å, 90.00 90.00 90.00°
Fractional positions:
Co1 0.000 0.000 0.000
Mg1 0.500 0.000 0.500
Rh1 0.000 0.500 0.500
Co2 0.500 0.500 0.000

# GeBPS2

An optimized crystal structure of GeBPS2 (PBE-GGA, Alexandria via LeMat-Bulk).

Computed properties:
Its crystal system is tetragonal. The calculation puts the magnetic moment at 0.599 μB/f.u. The offset from the most stable computed form is 79.67 kJ/mol of atoms. Its raw formation energy is 724 kJ/mol of formula units.

Cell: 4.716 4.716 4.706 Å, 90.00 90.00 90.00°
Fractional positions:
P1 0.000 0.000 0.500
B1 0.500 0.500 0.500
S1 0.500 0.000 0.000
S2 0.000 0.500 0.000
Ge1 0.000 0.000 0.000

Question: What is the magnetic moment in the first record?
Answer: 0.000 μB/f.u.

Question: Which formula does entry 3 have?
Answer: MgCo2Rh

Question: What is the magnetic moment in the fourth record?
Answer: 0.599 μB/f.u.